# 1
Computed, not measured: a relaxed structure of NdAg2Ge at the PBE level of DFT.

Values from the calculation:
Formation energy from the elements (eV/atom): 0.321
Raw total energy (eV per atom): -3.451

Unit cell a=3.1444 b=3.1444 c=31.9278 alpha=90.00 beta=90.00 gamma=120.00
With the nearest neighbours (Å) after each atom.
Element x y z (fractional)
1 Nd 0.0000 0.0000 0.0000  2 Ag 3.05, 6 Nd 3.14
2 Nd 0.3333 0.6667 0.6667  2 Ag 3.05, 6 Nd 3.14
3 Nd 0.6667 0.3333 0.3333  2 Ag 3.05, 6 Nd 3.14
4 Ag 0.0000 0.0000 0.0954  3 Ge 2.91, 1 Nd 3.05, 6 Ag 3.14
5 Ag 0.0000 0.0000 0.9046  3 Ge 2.91, 1 Nd 3.05, 6 Ag 3.14
6 Ag 0.3333 0.6667 0.5713  3 Ge 2.91, 1 Nd 3.05, 6 Ag 3.14
7 Ag 0.3333 0.6667 0.7621  3 Ge 2.91, 1 Nd 3.05, 6 Ag 3.14
8 Ag 0.6667 0.3333 0.2379  3 Ge 2.91, 1 Nd 3.05, 6 Ag 3.14
9 Ag 0.6667 0.3333 0.4287  3 Ge 2.91, 1 Nd 3.05, 6 Ag 3.14
10 Ge 0.0000 0.0000 0.5000  6 Ag 2.91, 6 Ge 3.14
11 Ge 0.3333 0.6667 0.1667  6 Ag 2.91, 6 Ge 3.14
12 Ge 0.6667 0.3333 0.8333  6 Ag 2.91, 6 Ge 3.14


# 2
Computed, not measured: a relaxed structure of Nd5Ag2Ge2 at the PBE level of DFT.

Values from the calculation:
Formation energy from the elements (eV/atom): -0.482
Raw total energy (eV per atom): -4.791

Unit cell a=8.9546 b=8.9546 c=7.8639 alpha=90.00 beta=90.00 gamma=52.37
With the nearest neighbours (Å) after each atom.
Element x y z (fractional)
1 Nd 0.0000 0.0000 0.0000  4 Ge 3.11-3.13, 2 Ag 3.41
2 Nd 0.0467 0.6890 0.6741  3 Ge 3.08-3.22, 3 Ag 3.16-3.20
3 Nd 0.1890 0.5467 0.1741  3 Ge 3.08-3.22, 3 Ag 3.16-3.20
4 Nd 0.3110 0.9533 0.6741  3 Ge 3.08-3.22, 3 Ag 3.16-3.20
5 Nd 0.4533 0.8110 0.1741  3 Ge 3.08-3.22, 3 Ag 3.16-3.20
6 Nd 0.5000 0.5000 0.5000  4 Ge 3.11-3.13, 2 Ag 3.41
7 Nd 0.5467 0.1890 0.8259  3 Ge 3.08-3.22, 3 Ag 3.16-3.20
8 Nd 0.6890 0.0467 0.3259  3 Ge 3.08-3.22, 3 Ag 3.16-3.20
9 Nd 0.8110 0.4533 0.8259  3 Ge 3.08-3.22, 3 Ag 3.16-3.20
10 Nd 0.9533 0.3110 0.3259  3 Ge 3.08-3.22, 3 Ag 3.16-3.20
11 Ag 0.2119 0.2119 0.0000  7 Nd 3.16-3.41
12 Ag 0.2881 0.2881 0.5000  7 Nd 3.16-3.41
13 Ag 0.7119 0.7119 0.5000  7 Nd 3.16-3.41
14 Ag 0.7881 0.7881 0.0000  7 Nd 3.16-3.41
15 Ge 0.1235 0.8765 0.3756  1 Ge 2.76, 2 Nd 3.08
16 Ge 0.3765 0.6235 0.8756  1 Ge 2.76, 2 Nd 3.08
17 Ge 0.6235 0.3765 0.1244  1 Ge 2.76, 2 Nd 3.08
18 Ge 0.8765 0.1235 0.6244  1 Ge 2.76, 2 Nd 3.08


# 3
Computed, not measured: a relaxed structure of Nd2AgGeO6 at the PBE level of DFT.

Values from the calculation:
ΔE_f (raw) (meV per atom): -2040
Raw total energy (eV per atom): -6.715

Unit cell a=5.4740 b=5.4740 c=4.8189 alpha=90.00 beta=90.00 gamma=90.00
With the nearest neighbours (Å) after each atom.
Element x y z (fractional)
1 Nd 0.0000 0.5000 0.0000  4 O 2.38
2 Nd 0.5000 0.0000 0.0000  4 O 2.38
3 Ag 0.0000 0.0000 0.5653  5 O 2.21-2.23
4 Ge 0.5000 0.5000 0.5852  5 O 1.78-1.86
5 O 0.0000 0.0000 0.1071  1 Ag 2.21
6 O 0.2729 0.2729 0.7139  1 Ge 1.86
7 O 0.2729 0.7271 0.7139  1 Ge 1.86
8 O 0.5000 0.5000 0.2155  1 Ge 1.78
9 O 0.7271 0.2729 0.7139  1 Ge 1.86
10 O 0.7271 0.7271 0.7139  1 Ge 1.86


# 4
Computed, not measured: a relaxed structure of NdAgGeO4 at the PBE level of DFT.

Values from the calculation:
ΔE_f (raw) (meV per atom): -1874
Raw total energy (eV per atom): -6.455

Unit cell a=6.5381 b=6.5381 c=6.5381 alpha=124.51 beta=108.72 gamma=96.45
With the nearest neighbours (Å) after each atom.
Element x y z (fractional)
1 Nd 0.0000 0.0000 0.0000  6 O 2.37-2.45
2 Nd 0.5000 0.0000 0.5000  6 O 2.37-2.45
3 Ag 0.5000 0.0000 0.0000  2 O 2.20
4 Ag 0.5000 0.5000 0.5000  2 O 2.20
5 Ge 0.1249 0.3749 0.7500  4 O 1.76-1.84
6 Ge 0.8751 0.6251 0.2500  4 O 1.76-1.84
7 O 0.1774 0.7316 0.4459  1 Ge 1.76
8 O 0.2143 0.2684 0.9459  1 Ge 1.76
9 O 0.2472 0.2508 0.5036  1 Ge 1.84
10 O 0.2472 0.7436 0.9964  1 Ge 1.84
11 O 0.7528 0.2564 0.0036  1 Ge 1.84
12 O 0.7528 0.7492 0.4964  1 Ge 1.84
13 O 0.7857 0.7316 0.0541  1 Ge 1.76
14 O 0.8226 0.2684 0.5541  1 Ge 1.76